No. 1
# Li2La2NiGe4 GGA-PBE relaxed
# size of the total moment	0.00	μB/atom
# N(E_F)	9.312	states/eV per cell
# calculated volume	353	Å³ per cell
data_Li2La2NiGe4
_space_group_name_H-M_alt 'I 4/m m m'
_space_group_IT_number 139
_space_group_name_Hall '-I 4 2'
_cell_length_a 6.239
_cell_length_b 6.239
_cell_length_c 9.077
_cell_angle_alpha 90.00
_cell_angle_beta 90.00
_cell_angle_gamma 90.00
loop_
_atom_site_label
_atom_site_type_symbol
_atom_site_fract_x
_atom_site_fract_y
_atom_site_fract_z
_atom_site_occupancy
Li1 Li 0.000 0.000 0.211 1
La1 La 0.000 0.500 0.250 1
Ni1 Ni 0.000 0.000 0.500 1
Ge1 Ge 0.223 0.223 0.000 1

---

No. 2
# LiLa2Ni3Ge4 GGA-PBE relaxed
# size of the total moment	0.00	μB/atom
# N(E_F)	6.688	states/eV per cell
# calculated volume	178	Å³ per cell
data_LiLa2Ni3Ge4
_space_group_name_H-M_alt 'P -4 m 2'
_space_group_IT_number 115
_space_group_name_Hall 'P -4 -2'
_cell_length_a 4.264
_cell_length_b 4.264
_cell_length_c 9.795
_cell_angle_alpha 90.00
_cell_angle_beta 90.00
_cell_angle_gamma 90.00
loop_
_atom_site_label
_atom_site_type_symbol
_atom_site_fract_x
_atom_site_fract_y
_atom_site_fract_z
_atom_site_occupancy
Li1 Li 0.000 0.000 0.000 1
La1 La 0.000 0.500 0.750 1
Ni1 Ni 0.000 0.500 0.380 1
Ni2 Ni 0.500 0.500 0.000 1
Ge1 Ge 0.000 0.000 0.500 1
Ge2 Ge 0.000 0.500 0.133 1
Ge3 Ge 0.500 0.500 0.500 1

---

Record order is preserved below.
Formation enthalpy at 0 K: -0.536 -0.667 eV per atom
Record order is preserved below.
Total DFT energy (no corrections): -85.51 -54.25 eV/cell